This record from the Alexandria database describes a relaxed POs2Br crystal. The functional is GGA-PBE.

Cell: 2.876 2.876 8.754 Å, 90.00 90.00 90.00°
Atoms (fractional coordinates):
1 Br 0.500 0.500 0.813
2 Os 0.000 0.000 0.035
3 Os 0.500 0.500 0.238
4 P 0.000 0.000 0.414

crystal system	tetragonal
formation energy (no corrections)	548	meV per atom

=====

This record from the Alexandria database describes a relaxed Li2Ca4O crystal. The functional is GGA-PBE.

Cell: 4.743 4.743 9.252 Å, 104.85 104.85 90.00°
Atoms (fractional coordinates):
1 Ca 0.839 0.839 0.678
2 Ca 0.161 0.161 0.322
3 Ca 0.000 0.500 0.000
4 Ca 0.500 0.000 0.000
5 O 0.000 0.000 0.000
6 Li 0.651 0.651 0.302
7 Li 0.349 0.349 0.698

crystal system	tetragonal
formation energy (no corrections)	-701	meV per atom

=====

This record from the Alexandria database describes a relaxed Cs2Cd2Bi crystal. The functional is GGA-PBE.

Cell: 8.305 8.305 6.109 Å, 90.00 90.00 90.00°
Atoms (fractional coordinates):
1 Cs 0.185 0.685 0.500
2 Cs 0.685 0.815 0.500
3 Cs 0.815 0.315 0.500
4 Cs 0.315 0.185 0.500
5 Bi 0.000 0.000 0.000
6 Bi 0.500 0.500 0.000
7 Cd 0.372 0.872 0.000
8 Cd 0.872 0.628 0.000
9 Cd 0.628 0.128 0.000
10 Cd 0.128 0.372 0.000

crystal system	tetragonal
formation energy	-142	meV/atom

=====

This record from the Alexandria database describes a relaxed Li6MgSn4 crystal. The functional is GGA-PBE.

Cell: 3.064 9.312 9.312 Å, 120.00 90.00 90.00°
Atoms (fractional coordinates):
1 Li 0.000 0.514 0.028
2 Li 0.500 0.635 0.818
3 Li 0.000 0.514 0.486
4 Li 0.000 0.972 0.486
5 Li 0.500 0.182 0.818
6 Li 0.500 0.182 0.365
7 Mg 0.000 0.000 0.000
8 Sn 0.500 0.828 0.657
9 Sn 0.500 0.343 0.172
10 Sn 0.500 0.828 0.172
11 Sn 0.000 0.333 0.667

crystal system	hexagonal
formation energy	-281	meV/atom

=====

This record from the Alexandria database describes a relaxed Ti8CoBi2 crystal. The functional is GGA-PBE.

Cell: 4.743 5.398 7.988 Å, 94.38 107.27 90.00°
Atoms (fractional coordinates):
1 Ti 0.418 0.434 0.836
2 Ti 0.646 0.115 0.291
3 Ti 0.768 0.659 0.535
4 Ti 0.042 0.269 0.083
5 Ti 0.232 0.341 0.465
6 Ti 0.354 0.885 0.709
7 Ti 0.582 0.566 0.164
8 Ti 0.958 0.731 0.917
9 Co 0.500 0.000 0.000
10 Bi 0.843 0.192 0.686
11 Bi 0.157 0.808 0.314

crystal system	monoclinic
formation energy	-103	meV/atom

=====

This record from the Alexandria database describes a relaxed Er4Pb crystal. The functional is GGA-PBE.

Cell: 5.736 5.736 5.736 Å, 90.00 90.00 90.00°
Atoms (fractional coordinates):
1 Pb 0.500 0.500 0.500
2 Er 0.000 0.000 0.000
3 Er 0.500 0.000 0.500
4 Er 0.000 0.500 0.500
5 Er 0.500 0.500 0.000

crystal system	cubic
formation energy	439	meV/atom

=====

This record from the Alexandria database describes a relaxed AlSnC2 crystal. The functional is GGA-PBE.

Cell: 4.834 4.834 6.001 Å, 66.25 66.25 90.00°
Atoms (fractional coordinates):
1 C 0.598 0.125 0.250
2 C 0.152 0.625 0.250
3 C 0.375 0.402 0.750
4 C 0.875 0.848 0.750
5 Sn 0.000 0.000 0.000
6 Sn 0.750 0.250 0.500
7 Al 0.500 0.500 0.000
8 Al 0.250 0.750 0.500

crystal system	tetragonal
formation energy	697	meV/atom

=====

This record from the Alexandria database describes a relaxed VBiH2Au crystal. The functional is GGA-PBE.

Cell: 3.767 5.749 3.767 Å, 90.00 90.00 90.00°
Atoms (fractional coordinates):
1 H 0.000 0.000 0.500
2 H 0.500 0.000 0.000
3 Au 0.000 0.000 0.000
4 Bi 0.500 0.500 0.500
5 V 0.000 0.500 0.000

crystal system	tetragonal
raw total energy	-20.36	eV for the cell shown

=====

This record from the Alexandria database describes a relaxed Na6InHg3 crystal. The functional is GGA-PBE.

Cell: 4.955 10.208 10.861 Å, 95.21 90.00 90.00°
Atoms (fractional coordinates):
1 Na 0.250 0.456 0.097
2 Na 0.750 0.544 0.903
3 Na 0.250 0.144 0.215
4 Na 0.750 0.856 0.785
5 Na 0.250 0.641 0.687
6 Na 0.750 0.359 0.313
7 Na 0.250 0.267 0.520
8 Na 0.750 0.733 0.480
9 Na 0.250 0.824 0.290
10 Na 0.750 0.176 0.710
11 Na 0.250 0.067 0.900
12 Na 0.750 0.933 0.100
13 In 0.250 0.956 0.587
14 In 0.750 0.044 0.413
15 Hg 0.250 0.539 0.391
16 Hg 0.750 0.461 0.609
17 Hg 0.250 0.362 0.809
18 Hg 0.750 0.638 0.191
19 Hg 0.250 0.752 0.984
20 Hg 0.750 0.248 0.016

crystal system	monoclinic
formation energy	-174	meV/atom

=====

This record from the Alexandria database describes a relaxed TlPtW2 crystal. The functional is GGA-PBE.

Cell: 5.029 5.029 5.176 Å, 83.14 83.14 32.50°
Atoms (fractional coordinates):
1 Pt 0.510 0.510 0.499
2 Tl 0.754 0.754 0.738
3 W 0.995 0.995 0.025
4 W 0.241 0.241 0.238

crystal system	monoclinic
formation energy	541	meV/atom

=====

This record from the Alexandria database describes a relaxed CuAsSeBr2 crystal. The functional is GGA-PBE.

Cell: 4.776 4.776 5.159 Å, 90.00 90.00 90.00°
Atoms (fractional coordinates):
1 As 0.000 0.000 0.500
2 Cu 0.000 0.000 0.000
3 Se 0.500 0.500 0.500
4 Br 0.000 0.500 0.000
5 Br 0.500 0.000 0.000

crystal system	tetragonal
formation energy (no corrections)	484	meV per atom

=====

This record from the Alexandria database describes a relaxed Hf2Nb2W crystal. The functional is GGA-PBE.

Cell: 6.651 6.651 4.672 Å, 90.00 90.00 90.00°
Atoms (fractional coordinates):
1 Nb 0.353 0.853 0.000
2 Nb 0.853 0.647 0.000
3 Nb 0.647 0.147 0.000
4 Nb 0.147 0.353 0.000
5 Hf 0.167 0.667 0.500
6 Hf 0.667 0.833 0.500
7 Hf 0.833 0.333 0.500
8 Hf 0.333 0.167 0.500
9 W 0.000 0.000 0.000
10 W 0.500 0.500 0.000

crystal system	tetragonal
formation energy	357	meV/atom

=====

| no. | total magnetization (Bohr magnetons per cell) |
| --- | --- |
| 1 | 0.00 |
| 2 | 0.00 |
| 3 | 0.00 |
| 4 | 0.00 |
| 5 | 0.00 |
| 6 | 0.74 |
| 7 | 0.00 |
| 8 | 1.85 |
| 9 | 0.00 |
| 10 | 0.00 |
| 11 | 0.00 |
| 12 | 0.00 |